(1)
Below is a relaxed structure of ErTlCo4, with properties calculated at the PBE level.

Results
The value obtained for the energy is -5.92 eV per atom. The space group is No. 216. The value obtained for the density of states at the Fermi level is 8.629 states/eV/f.u. The value obtained for the energy of formation is -0.17 eV/f.u. Its crystal system is cubic.

extended XYZ file:
```
6
Lattice="4.999 0.000 0.000 2.500 4.329 0.000 2.500 1.443 4.082" Properties=species:S:1:pos:R:3 pbc="T T T"
Er 0.000 0.000 0.000
Co 6.248 3.607 2.551
Co 3.750 3.607 2.551
Co 4.999 1.444 2.551
Co 4.999 2.886 0.511
Tl 2.500 1.443 1.020
```


(2)
Below is a relaxed structure of SrLi2Ag, with properties calculated at the PBE level.

Results
The value obtained for the energy is -2.14 eV per atom. The space group is No. 216. The value obtained for the density of states at the Fermi level is 1.248 states/eV/f.u. The value obtained for the energy of formation is -0.22 eV/f.u. Its crystal system is cubic.

extended XYZ file:
```
4
Lattice="5.287 0.000 0.000 2.644 4.579 0.000 2.644 1.526 4.317" Properties=species:S:1:pos:R:3 pbc="T T T"
Ag 5.287 3.052 2.158
Li 0.000 0.000 0.000
Li 2.644 1.526 1.079
Sr 7.931 4.579 3.238
```


(3)
Below is a relaxed structure of TbPaGaRe, with properties calculated at the PBE level.

Results
The value obtained for the energy is -7.47 eV per atom. The space group is No. 216. The value obtained for the density of states at the Fermi level is 2.667 states/eV/f.u. The value obtained for the energy of formation is -0.27 eV/f.u. Its crystal system is cubic.

extended XYZ file:
```
4
Lattice="-2.491 2.798 -3.258 -3.847 -1.915 -2.487 -4.619 1.498 1.036" Properties=species:S:1:pos:R:3 pbc="T T T"
Re -8.218 1.786 -3.532
Tb 0.000 0.000 0.000
Ga -2.739 0.595 -1.177
Pa -5.479 1.190 -2.355
```


(4)
Below is a relaxed structure of Be4PtRh3, with properties calculated at the PBE level.

Results
The value obtained for the energy is -6.06 eV per atom. The space group is No. 123. The value obtained for the density of states at the Fermi level is 4.789 states/eV/f.u. The value obtained for the energy of formation is -5.45 eV/f.u. Its crystal system is tetragonal.

extended XYZ file:
```
8
Lattice="2.797 0.000 0.000 0.000 2.797 0.000 0.000 0.000 11.214" Properties=species:S:1:pos:R:3 pbc="T T T"
Rh 1.398 1.398 2.833
Rh 1.398 1.398 5.607
Rh 1.398 1.398 8.381
Be 0.000 0.000 9.713
Be 0.000 0.000 4.224
Be 0.000 0.000 6.990
Be 0.000 0.000 1.501
Pt 1.398 1.398 0.000
```


(5)
Below is a relaxed structure of Ba2SnPd2O6, with properties calculated at the PBE level.

Results
The value obtained for the energy is -5.72 eV per atom. The energy relative to the elements, uncorrected comes out at -1355 meV/atom. The space group is No. 166. The value obtained for the density of states at the Fermi level is 7.203 states/eV/f.u. Its crystal system is trigonal.

extended XYZ file:
```
11
Lattice="-4.927 -3.353 1.657 0.007 -3.059 5.377 -3.847 2.377 4.916" Properties=species:S:1:pos:R:3 pbc="T T T"
O -6.784 -1.569 6.233
O -1.983 -2.467 5.716
O -4.012 -1.403 8.323
O -4.752 -4.351 6.647
O -4.756 -2.632 3.626
O -4.016 0.315 5.302
Pd -4.976 -0.806 6.665
Pd -3.791 -3.230 5.284
Ba -6.367 -3.453 8.719
Ba -2.400 -0.583 3.230
Sn 0.000 0.000 0.000
```


(6)
Below is a relaxed structure of ThVTc, with properties calculated at the PBE level.

Results
The value obtained for the energy is -8.89 eV per atom. The space group is No. 107. The value obtained for the density of states at the Fermi level is 3.451 states/eV/f.u. The value obtained for the energy of formation is 0.23 eV/f.u. Its crystal system is tetragonal.

extended XYZ file:
```
3
Lattice="-1.136 -0.498 2.935 -0.596 -3.040 -0.747 6.184 0.283 0.713" Properties=species:S:1:pos:R:3 pbc="T T T"
Tc 3.207 -0.896 1.090
V 1.278 -2.368 1.823
Th 4.418 -3.245 2.890
```


(7)
Below is a relaxed structure of Pr6Tm8In, with properties calculated at the PBE level.

Results
The value obtained for the energy is -4.41 eV per atom. The space group is No. 147. The value obtained for the density of states at the Fermi level is 18.567 states/eV/f.u. The value obtained for the energy of formation is 1.01 eV/f.u. Its crystal system is trigonal.

extended XYZ file:
```
15
Lattice="6.345 0.000 0.000 0.000 8.206 -4.738 0.000 0.000 9.475" Properties=species:S:1:pos:R:3 pbc="T T T"
Pr 4.369 3.688 1.292
Pr 1.976 0.725 3.840
Pr 4.369 5.243 -2.190
Pr 1.976 2.963 6.928
Pr 4.369 7.481 0.898
Pr 1.976 4.518 3.445
Tm 1.125 5.470 0.000
Tm 5.220 2.735 4.738
Tm 5.144 1.821 8.047
Tm 1.201 7.879 2.446
Tm 1.201 2.148 0.863
Tm 5.144 6.058 3.874
Tm 1.201 6.384 -3.309
Tm 5.144 0.326 2.291
In 3.172 0.000 0.000
```


(8)
Below is a relaxed structure of CoNi2Hg, with properties calculated at the PBE level.

Results
The value obtained for the energy is -4.49 eV per atom. The space group is No. 99. The value obtained for the density of states at the Fermi level is 4.031 states/eV/f.u. The value obtained for the energy of formation is 1.02 eV/f.u. Its crystal system is tetragonal.

extended XYZ file:
```
4
Lattice="2.955 0.000 0.000 0.000 2.955 0.000 0.000 0.000 6.172" Properties=species:S:1:pos:R:3 pbc="T T T"
Ni 0.000 0.000 0.264
Ni 1.478 1.478 1.570
Co 0.000 0.000 2.774
Hg 1.478 1.478 4.650
```


(9)
Below is a relaxed structure of Gd2InTc, with properties calculated at the PBE level.

Results
The value obtained for the energy is -10.42 eV per atom. The space group is No. 225. The value obtained for the density of states at the Fermi level is 4.133 states/eV/f.u. The value obtained for the energy of formation is -0.43 eV/f.u. Its crystal system is cubic.

extended XYZ file:
```
4
Lattice="5.119 0.000 0.000 2.560 4.433 0.000 2.560 1.478 4.180" Properties=species:S:1:pos:R:3 pbc="T T T"
In 0.000 0.000 0.000
Gd 7.679 4.433 3.135
Gd 2.560 1.478 1.045
Tc 5.119 2.956 2.090
```


(10)
Below is a relaxed structure of Na3Li5I12, with properties calculated at the PBE level.

Results
The value obtained for the energy is -2.40 eV per atom. The energy relative to the elements, uncorrected comes out at -795 meV/atom. The space group is No. 230. The value obtained for the density of states at the Fermi level is 17.213 states/eV/f.u. Its crystal system is cubic.

extended XYZ file:
```
80
Lattice="-2.827 -1.713 -15.198 1.952 -13.986 6.519 -12.020 7.224 6.727" Properties=species:S:1:pos:R:3 pbc="T T T"
Na -10.383 2.610 5.616
Na -10.050 -0.898 -2.009
Na -2.512 -11.086 -7.568
Na -5.235 -1.441 -10.802
Na -4.970 0.532 -0.462
Na -7.925 -9.008 -1.490
Na -10.004 -2.849 6.161
Na -2.845 -7.578 0.057
Na -5.786 -1.858 -5.346
Na -7.109 -6.617 3.395
Na -2.891 -5.627 -8.113
Na -7.660 -7.034 8.850
I -3.819 -8.344 -9.731
I -0.605 -9.129 1.912
I -7.433 -9.161 -5.182
I -7.944 -9.571 2.196
I -7.780 1.992 -1.377
I -5.115 -10.467 -0.574
I -4.951 1.095 -4.147
I -3.036 -8.441 -5.672
I -10.539 -5.302 4.027
I -5.462 0.686 3.231
I -7.776 -1.836 0.184
I -9.076 -0.131 7.779
I -8.541 -6.127 -0.012
I -4.354 -2.348 -1.939
I -2.553 -1.191 0.970
I -10.342 -7.285 -2.922
I -3.241 -10.309 7.018
I -8.848 0.216 -4.868
I -5.376 -5.121 -10.218
I -9.859 -0.034 3.721
I -4.247 0.063 -7.537
I -5.119 -6.639 -2.136
I -9.654 1.834 -8.970
I -6.043 -5.027 -6.215
I -7.519 -3.354 8.267
I -12.290 0.653 -3.863
I -5.307 -6.348 6.648
I -10.681 -6.007 8.023
I -4.048 -8.691 2.917
I -1.609 -5.852 -2.464
I -3.984 -11.790 -4.705
I -8.911 3.315 2.753
I -0.895 -14.129 -6.147
I -8.648 -8.539 5.585
I -0.862 -9.831 -2.154
I -2.356 -3.173 -5.979
I 0.260 -11.802 5.404
I -7.588 -2.127 -8.599
I -11.286 -2.623 0.512
I -4.990 -4.910 1.535
I -12.000 5.654 4.195
I -12.033 1.355 0.203
I -7.905 -3.565 -3.486
I -13.155 3.326 -7.356
I -2.214 -2.468 -9.974
I -12.481 -3.372 -3.374
I -6.852 -3.448 4.263
I -0.414 -5.103 1.422
Li 0.976 -6.993 3.260
Li -10.269 -4.822 -4.179
Li -12.394 3.288 -4.698
Li -9.498 -0.481 -7.464
Li -3.064 -11.503 -2.113
Li -3.397 -7.995 5.513
Li -6.010 3.612 3.364
Li -6.448 -4.238 -0.976
Li -7.487 -1.158 2.850
Li -2.626 -3.653 2.227
Li -1.414 -0.857 -7.599
Li -10.820 -5.239 1.277
Li -9.831 3.027 0.161
Li -0.501 -11.763 2.746
Li 0.000 0.000 0.000
Li -0.438 -7.850 -4.340
Li -5.408 -7.317 -4.801
Li -2.075 -3.236 -3.229
Li -5.034 -3.381 6.623
Li -7.424 2.755 -4.236
```


(11)
Below is a relaxed structure of Ba3AlSn, with properties calculated at the PBE level.

Results
The value obtained for the energy is -3.01 eV per atom. The space group is No. 12. The value obtained for the density of states at the Fermi level is 3.635 states/eV/f.u. The value obtained for the energy of formation is -1.56 eV/f.u. Its crystal system is monoclinic.

extended XYZ file:
```
10
Lattice="-3.423 2.714 0.651 -1.082 -6.704 7.272 5.986 6.230 5.482" Properties=species:S:1:pos:R:3 pbc="T T T"
Sn -1.714 0.527 3.268
Sn -0.587 -2.805 8.114
Ba 2.216 4.652 6.718
Ba 1.473 -0.699 10.146
Ba -4.149 -3.677 7.995
Ba 1.849 1.401 3.390
Ba -1.378 -2.931 4.474
Ba -0.921 0.654 6.910
Al 2.584 1.325 7.544
Al 1.105 2.628 9.319
```


(12)
Below is a relaxed structure of SiSb2Pt, with properties calculated at the PBE level.

Results
The value obtained for the energy is -4.85 eV per atom. The energy relative to the elements, uncorrected comes out at 75 meV/atom. The space group is No. 69. The value obtained for the density of states at the Fermi level is 3.152 states/eV/f.u. Its crystal system is orthorhombic.

extended XYZ file:
```
4
Lattice="4.753 0.882 0.429 -2.512 4.124 0.261 0.967 2.016 4.294" Properties=species:S:1:pos:R:3 pbc="T T T"
Sb 0.000 0.000 0.000
Sb -0.773 3.070 2.278
Si 1.120 2.503 0.345
Pt 2.860 1.449 2.362
```


What did the twelfth record say?
Below is a relaxed structure of SiSb2Pt, with properties calculated at the PBE level.

Results
The value obtained for the energy is -4.85 eV per atom. The energy relative to the elements, uncorrected comes out at 75 meV/atom. The space group is No. 69. The value obtained for the density of states at the Fermi level is 3.152 states/eV/f.u. Its crystal system is orthorhombic.

extended XYZ file:
```
4
Lattice="4.753 0.882 0.429 -2.512 4.124 0.261 0.967 2.016 4.294" Properties=species:S:1:pos:R:3 pbc="T T T"
Sb 0.000 0.000 0.000
Sb -0.773 3.070 2.278
Si 1.120 2.503 0.345
Pt 2.860 1.449 2.362
```


> Which of these has the lowest energy?

Gd2InTc


> Which formula does entry 10 have?

Na3Li5I12